1.
TmBeO3 after structural relaxation, computed with PBE.

a = 5.4770 Å, b = 5.4770 Å, c = 5.4770 Å
α = 57.88°, β = 57.88°, γ = 57.88°
Sites, in units of the cell vectors:
Tm1 0.1398 0.1398 0.1398
Tm2 0.8602 0.8602 0.8602
Be1 0.3966 0.3966 0.3966
Be2 0.6034 0.6034 0.6034
O1 0.1020 0.4637 0.6878
O2 0.3122 0.8980 0.5363
O3 0.4637 0.6878 0.1020
O4 0.5363 0.3122 0.8980
O5 0.6878 0.1020 0.4637
O6 0.8980 0.5363 0.3122

The value obtained for the volume is 11.1 Å³/atom. The value obtained for the raw total energy is -7.027 eV per atom. For the spin magnetization, the calculation gives 1.00 μB per formula unit.

2.
TmBeO3 after structural relaxation, computed with PBE.

a = 3.2657 Å, b = 3.2657 Å, c = 4.3782 Å
α = 90.00°, β = 90.00°, γ = 90.00°
Sites, in units of the cell vectors:
Tm1 0.0000 0.0000 0.0000
Be1 0.5000 0.5000 0.5074
O1 0.0000 0.5000 0.6326
O2 0.5000 0.0000 0.6326
O3 0.5000 0.5000 0.1405

The value obtained for the volume is 9.3 Å³/atom. The value obtained for the raw total energy is -7.177 eV per atom. For the spin magnetization, the calculation gives 0.16 μB per formula unit.

3.
Tm2Be2O5 after structural relaxation, computed with PBE.

a = 3.7592 Å, b = 3.7592 Å, c = 8.4494 Å
α = 90.00°, β = 90.00°, γ = 90.00°
Sites, in units of the cell vectors:
Tm1 0.0000 0.0000 0.2405
Tm2 0.0000 0.0000 0.7595
Be1 0.5000 0.5000 0.0000
Be2 0.5000 0.5000 0.5000
O1 0.0000 0.0000 0.5000
O2 0.0000 0.5000 0.1340
O3 0.0000 0.5000 0.8660
O4 0.5000 0.0000 0.1340
O5 0.5000 0.0000 0.8660

The value obtained for the volume is 13.3 Å³/atom. For the distance to the lowest polymorph of the same formula, the calculation gives 1290.9 meV/atom. For the spin magnetization, the calculation gives 0.00 μB per formula unit.

4.
TmBeO3 after structural relaxation, computed with PBE.

a = 5.3334 Å, b = 6.9593 Å, c = 4.8759 Å
α = 90.00°, β = 90.00°, γ = 90.00°
Sites, in units of the cell vectors:
Tm1 0.0758 0.2500 0.0246
Tm2 0.4242 0.7500 0.5246
Tm3 0.5758 0.2500 0.4754
Tm4 0.9242 0.7500 0.9754
Be1 0.0000 0.0000 0.5000
Be2 0.0000 0.5000 0.5000
Be3 0.5000 0.0000 0.0000
Be4 0.5000 0.5000 0.0000
O1 0.0120 0.7500 0.4288
O2 0.2152 0.5384 0.8157
O3 0.2152 0.9616 0.8157
O4 0.2848 0.0384 0.3157
O5 0.2848 0.4616 0.3157
O6 0.4880 0.2500 0.9288
O7 0.5120 0.7500 0.0712
O8 0.7152 0.5384 0.6843
O9 0.7152 0.9616 0.6843
O10 0.7848 0.0384 0.1843
O11 0.7848 0.4616 0.1843
O12 0.9880 0.2500 0.5712

The value obtained for the volume is 9.0 Å³/atom. The value obtained for the raw total energy is -7.146 eV per atom. For the spin magnetization, the calculation gives 1.00 μB per formula unit.

5.
Tm2Be2O5 after structural relaxation, computed with PBE.

a = 3.5353 Å, b = 3.5353 Å, c = 6.6286 Å
α = 90.00°, β = 90.00°, γ = 90.00°
Sites, in units of the cell vectors:
Tm1 0.0000 0.0000 0.0000
Tm2 0.0000 0.0000 0.5000
Be1 0.5000 0.5000 0.2368
Be2 0.5000 0.5000 0.7632
O1 0.0000 0.5000 0.2816
O2 0.0000 0.5000 0.7184
O3 0.5000 0.0000 0.2816
O4 0.5000 0.0000 0.7184
O5 0.5000 0.5000 0.0000

The value obtained for the volume is 9.2 Å³/atom. For the distance to the lowest polymorph of the same formula, the calculation gives 0.0 meV/atom. For the spin magnetization, the calculation gives 0.00 μB per formula unit.

6.
TmBeO3 after structural relaxation, computed with PBE.

a = 4.8590 Å, b = 4.8590 Å, c = 4.8590 Å
α = 63.10°, β = 63.10°, γ = 63.10°
Sites, in units of the cell vectors:
Tm1 0.2500 0.2500 0.2500
Tm2 0.7500 0.7500 0.7500
Be1 0.0000 0.0000 0.0000
Be2 0.5000 0.5000 0.5000
O1 0.1862 0.7500 0.3138
O2 0.2500 0.6862 0.8138
O3 0.3138 0.1862 0.7500
O4 0.6862 0.8138 0.2500
O5 0.7500 0.3138 0.1862
O6 0.8138 0.2500 0.6862

The value obtained for the volume is 8.7 Å³/atom. The value obtained for the raw total energy is -7.121 eV per atom. For the spin magnetization, the calculation gives 0.04 μB per formula unit.

7.
BeZnO3 after structural relaxation, computed with PBE.

a = 3.7282 Å, b = 3.7282 Å, c = 3.7282 Å
α = 90.00°, β = 90.00°, γ = 90.00°
Sites, in units of the cell vectors:
Be1 0.0000 0.0000 0.0000
Zn1 0.5000 0.5000 0.5000
O1 0.0000 0.5000 0.5000
O2 0.5000 0.0000 0.5000
O3 0.5000 0.5000 0.0000

The value obtained for the volume is 10.4 Å³/atom. The value obtained for the raw total energy is -3.873 eV per atom.

8.
BeZn2O4 after structural relaxation, computed with PBE.

a = 5.6727 Å, b = 5.6727 Å, c = 5.6727 Å
α = 60.00°, β = 60.00°, γ = 60.00°
Sites, in units of the cell vectors:
Be1 0.1250 0.1250 0.1250
Be2 0.8750 0.8750 0.8750
Zn1 0.0000 0.5000 0.5000
Zn2 0.5000 0.0000 0.5000
Zn3 0.5000 0.5000 0.0000
Zn4 0.5000 0.5000 0.5000
O1 0.2380 0.7540 0.7540
O2 0.2460 0.2460 0.2460
O3 0.2460 0.2460 0.7620
O4 0.2460 0.7620 0.2460
O5 0.7540 0.2380 0.7540
O6 0.7540 0.7540 0.2380
O7 0.7540 0.7540 0.7540
O8 0.7620 0.2460 0.2460

The value obtained for the volume is 9.2 Å³/atom. The value obtained for the raw total energy is -4.970 eV per atom.